Record 1
KSb2Pt | GGA-PBEsol | optimized geometry

```
KSb2Pt
1.0
2.111 1.219 7.348
-2.111 1.219 7.348
0.000 -2.438 7.348
K Sb Pt
1 2 1
Cartesian
0.000 0.000 0.000 K
0.000 0.000 4.767 Sb
0.000 0.000 9.828 Sb
0.000 0.000 18.304 Pt
```

Properties
The value obtained for the energy above the most stable polymorph in this dataset is 0 meV per atom. For the final energy, the calculation gives -4.775 eV/atom. As for the density of states at the Fermi level: 1.2 states/eV/f.u.

=====

Record 2
K2SiPt | GGA-PBEsol | optimized geometry

```
K2SiPt
1.0
3.397 -2.110 0.000
3.397 2.110 0.000
-2.256 0.000 9.383
K Si Pt
2 1 1
Cartesian
0.000 0.000 0.000 K
-0.003 0.000 4.969 K
4.538 0.000 2.485 Si
2.211 0.000 2.484 Pt
```

Properties
For the final energy, the calculation gives -4.029 eV/atom. As for the density of states at the Fermi level: 2.5 states/eV/f.u.

=====

Record 3
KSiPt2 | GGA-PBEsol | optimized geometry

```
KSiPt2
1.0
2.925 0.000 0.000
0.000 2.925 0.000
0.000 0.000 8.280
K Si Pt
1 1 2
Cartesian
0.000 0.000 0.000 K
0.000 0.000 4.140 Si
1.462 1.462 2.707 Pt
1.462 1.462 5.573 Pt
```

Properties
For the final energy, the calculation gives -5.527 eV/atom. As for the density of states at the Fermi level: 1.2 states/eV/f.u.

=====

Record 4
K2Sn2Pt | GGA-PBEsol | optimized geometry

```
K2Sn2Pt
1.0
6.964 0.000 0.000
0.000 6.964 0.000
0.000 0.000 5.815
K Sn Pt
4 4 2
Cartesian
1.264 2.218 0.000 K
2.218 5.700 0.000 K
4.746 1.264 0.000 K
5.700 4.746 0.000 K
1.010 4.492 2.907 Sn
2.472 1.010 2.907 Sn
4.492 5.954 2.907 Sn
5.954 2.472 2.907 Sn
0.000 0.000 2.907 Pt
3.482 3.482 2.907 Pt
```

Properties
For the final energy, the calculation gives -3.824 eV/atom. As for the density of states at the Fermi level: 2.4 states/eV/f.u.